This record from the Alexandria database describes a geometry-optimized Pm2Sm3UN6 structure. The functional is PBE.

```
data_Pm2Sm3UN6
_chemical_formula_sum 'Pm4 Sm6 U2 N12'
_symmetry_space_group_name_H-M 'C 1 2/m 1'
_symmetry_Int_Tables_number 12
_cell_length_a 6.170
_cell_length_b 10.676
_cell_length_c 6.152
_cell_angle_alpha 90.00
_cell_angle_beta 109.55
_cell_angle_gamma 90.00
loop_
_symmetry_equiv_pos_as_xyz
'x,y,z'
'-x,-y,-z'
'-x,y,-z'
'x,-y,z'
'x+1/2,y+1/2,z'
'-x+1/2,-y+1/2,-z'
'-x+1/2,y+1/2,-z'
'x+1/2,-y+1/2,z'
loop_
_atom_site_label
_atom_site_fract_x
_atom_site_fract_y
_atom_site_fract_z
_atom_site_occupancy
Pm1 0.000 0.166 0.000 1
Sm1 0.000 0.000 0.500 1
Sm2 0.000 0.334 0.500 1
U1 0.000 0.500 0.000 1
N1 0.225 0.500 0.766 1
N2 0.230 0.349 0.234 1
```

Results
Raw total energy (eV/cell): -206.0
ρ (kg/m³): 9247
Volume (Å³/cell): 382


This record from the Alexandria database describes a geometry-optimized Pm2SmVN4 structure. The functional is PBE.

```
data_Pm2SmVN4
_chemical_formula_sum 'Pm8 Sm4 V4 N16'
_symmetry_space_group_name_H-M 'C m c m'
_symmetry_Int_Tables_number 63
_symmetry_space_group_name_Hall '-C 2c 2'
_cell_length_a 3.437
_cell_length_b 11.836
_cell_length_c 12.172
_cell_angle_alpha 90.00
_cell_angle_beta 90.00
_cell_angle_gamma 90.00
loop_
_atom_site_label
_atom_site_fract_x
_atom_site_fract_y
_atom_site_fract_z
_atom_site_occupancy
Pm1 0.000 0.131 0.043 1
Sm1 0.000 0.414 0.250 1
V1 0.000 0.324 0.750 1
N1 0.000 0.076 0.250 1
N2 0.000 0.231 0.634 1
N3 0.000 0.500 0.000 1
```

Results
Raw total energy (eV/cell): -264.9
ρ (kg/m³): 7343
Volume (Å³/cell): 495


This record from the Alexandria database describes a geometry-optimized Pm2SmWN4 structure. The functional is PBE.

```
data_Pm2SmWN4
_chemical_formula_sum 'Pm8 Sm4 W4 N16'
_symmetry_space_group_name_H-M 'C m c m'
_symmetry_Int_Tables_number 63
_symmetry_space_group_name_Hall '-C 2c 2'
_cell_length_a 3.434
_cell_length_b 12.057
_cell_length_c 12.359
_cell_angle_alpha 90.00
_cell_angle_beta 90.00
_cell_angle_gamma 90.00
loop_
_atom_site_label
_atom_site_fract_x
_atom_site_fract_y
_atom_site_fract_z
_atom_site_occupancy
Pm1 0.000 0.131 0.038 1
Sm1 0.000 0.409 0.250 1
W1 0.000 0.331 0.750 1
N1 0.000 0.063 0.250 1
N2 0.000 0.232 0.631 1
N3 0.000 0.500 0.000 1
```

Results
Raw total energy (eV/cell): -273.1
ρ (kg/m³): 8830
Volume (Å³/cell): 512


This record from the Alexandria database describes a geometry-optimized Pm2SmYN4 structure. The functional is PBE.

```
data_Pm2SmYN4
_chemical_formula_sum 'Pm2 Sm1 Y1 N4'
_symmetry_space_group_name_H-M 'P 1 2/m 1'
_symmetry_Int_Tables_number 10
_cell_length_a 6.190
_cell_length_b 3.576
_cell_length_c 6.191
_cell_angle_alpha 90.00
_cell_angle_beta 109.42
_cell_angle_gamma 90.00
loop_
_symmetry_equiv_pos_as_xyz
'x,y,z'
'-x,-y,-z'
'-x,y,-z'
'x,-y,z'
loop_
_atom_site_label
_atom_site_fract_x
_atom_site_fract_y
_atom_site_fract_z
_atom_site_occupancy
Pm1 0.000 0.000 0.000 1
Pm2 0.500 0.500 0.000 1
Sm1 0.000 0.500 0.500 1
Y1 0.500 0.000 0.500 1
N1 0.252 0.000 0.746 1
N2 0.254 0.500 0.255 1
```

Results
Raw total energy (eV/cell): -66.0
ρ (kg/m³): 7519
Volume (Å³/cell): 129


This record from the Alexandria database describes a geometry-optimized PmSmYN3 structure. The functional is PBE.

```
data_PmSmYN3
_chemical_formula_sum 'Pm2 Sm2 Y2 N6'
_symmetry_space_group_name_H-M 'P 1 21/m 1'
_symmetry_Int_Tables_number 11
_cell_length_a 6.079
_cell_length_b 3.449
_cell_length_c 9.366
_cell_angle_alpha 90.00
_cell_angle_beta 96.22
_cell_angle_gamma 90.00
loop_
_symmetry_equiv_pos_as_xyz
'x,y,z'
'-x,-y,-z'
'-x,y+1/2,-z'
'x,-y+1/2,z'
loop_
_atom_site_label
_atom_site_fract_x
_atom_site_fract_y
_atom_site_fract_z
_atom_site_occupancy
Pm1 0.211 0.250 0.231 1
Sm1 0.314 0.250 0.874 1
Y1 0.261 0.750 0.552 1
N1 0.027 0.250 0.662 1
N2 0.278 0.750 0.033 1
N3 0.481 0.750 0.351 1
```

Results
Raw total energy (eV/cell): -97.6
ρ (kg/m³): 7251
Volume (Å³/cell): 195


This record from the Alexandria database describes a geometry-optimized PmSm2YN4 structure. The functional is PBE.

```
data_PmSm2YN4
_chemical_formula_sum 'Pm1 Sm2 Y1 N4'
_symmetry_space_group_name_H-M 'P 1 2/m 1'
_symmetry_Int_Tables_number 10
_cell_length_a 6.179
_cell_length_b 3.569
_cell_length_c 6.179
_cell_angle_alpha 90.00
_cell_angle_beta 109.43
_cell_angle_gamma 90.00
loop_
_symmetry_equiv_pos_as_xyz
'x,y,z'
'-x,-y,-z'
'-x,y,-z'
'x,-y,z'
loop_
_atom_site_label
_atom_site_fract_x
_atom_site_fract_y
_atom_site_fract_z
_atom_site_occupancy
Pm1 0.000 0.000 0.000 1
Sm1 0.500 0.000 0.500 1
Sm2 0.500 0.500 0.000 1
Y1 0.000 0.500 0.500 1
N1 0.247 0.000 0.746 1
N2 0.249 0.500 0.253 1
```

Results
Raw total energy (eV/cell): -66.1
ρ (kg/m³): 7631
Volume (Å³/cell): 129


This record from the Alexandria database describes a geometry-optimized PmSm2ZnN structure. The functional is PBE.

```
data_PmSm2ZnN
_chemical_formula_sum 'Pm1 Sm2 Zn1 N1'
_symmetry_space_group_name_H-M 'P 4/m m m'
_symmetry_Int_Tables_number 123
_symmetry_space_group_name_Hall '-P 4 2'
_cell_length_a 4.910
_cell_length_b 4.910
_cell_length_c 4.949
_cell_angle_alpha 90.00
_cell_angle_beta 90.00
_cell_angle_gamma 90.00
loop_
_atom_site_label
_atom_site_fract_x
_atom_site_fract_y
_atom_site_fract_z
_atom_site_occupancy
Pm1 0.000 0.000 0.000 1
Sm1 0.000 0.500 0.500 1
Zn1 0.500 0.500 0.000 1
N1 0.000 0.000 0.500 1
```

Results
Raw total energy (eV/cell): -27.2
ρ (kg/m³): 7308
Volume (Å³/cell): 119


This record from the Alexandria database describes a geometry-optimized PmSm2ZrN4 structure. The functional is PBE.

```
data_PmSm2ZrN4
_chemical_formula_sum 'Pm1 Sm2 Zr1 N4'
_symmetry_space_group_name_H-M 'P 1 2/m 1'
_symmetry_Int_Tables_number 10
_cell_length_a 6.062
_cell_length_b 3.490
_cell_length_c 6.070
_cell_angle_alpha 90.00
_cell_angle_beta 109.16
_cell_angle_gamma 90.00
loop_
_symmetry_equiv_pos_as_xyz
'x,y,z'
'-x,-y,-z'
'-x,y,-z'
'x,-y,z'
loop_
_atom_site_label
_atom_site_fract_x
_atom_site_fract_y
_atom_site_fract_z
_atom_site_occupancy
Pm1 0.000 0.000 0.000 1
Sm1 0.500 0.000 0.500 1
Sm2 0.500 0.500 0.000 1
Zr1 0.000 0.500 0.500 1
N1 0.231 0.000 0.730 1
N2 0.238 0.500 0.264 1
```

Results
Raw total energy (eV/cell): -68.2
ρ (kg/m³): 8117
Volume (Å³/cell): 121


This record from the Alexandria database describes a geometry-optimized Pm2SnN structure. The functional is PBE.

```
data_Pm2SnN
_chemical_formula_sum 'Pm8 Sn4 N4'
_symmetry_space_group_name_H-M 'C m c m'
_symmetry_Int_Tables_number 63
_symmetry_space_group_name_Hall '-C 2c 2'
_cell_length_a 3.352
_cell_length_b 17.287
_cell_length_c 6.657
_cell_angle_alpha 90.00
_cell_angle_beta 90.00
_cell_angle_gamma 90.00
loop_
_atom_site_label
_atom_site_fract_x
_atom_site_fract_y
_atom_site_fract_z
_atom_site_occupancy
Pm1 0.000 0.000 0.000 1
Pm2 0.000 0.168 0.250 1
Sn1 0.000 0.164 0.750 1
N1 0.000 0.438 0.750 1
```

Results
Raw total energy (eV/cell): -99.9
E above lowest polymorph (meV/atom): 0
ρ (kg/m³): 7278
Volume (Å³/cell): 386


This record from the Alexandria database describes a geometry-optimized Pm4SnN structure. The functional is PBE.

```
data_Pm4SnN
_chemical_formula_sum 'Pm16 Sn4 N4'
_symmetry_space_group_name_H-M 'C m c m'
_symmetry_Int_Tables_number 63
_symmetry_space_group_name_Hall '-C 2c 2'
_cell_length_a 4.953
_cell_length_b 19.006
_cell_length_c 6.865
_cell_angle_alpha 90.00
_cell_angle_beta 90.00
_cell_angle_gamma 90.00
loop_
_atom_site_label
_atom_site_fract_x
_atom_site_fract_y
_atom_site_fract_z
_atom_site_occupancy
Pm1 0.000 0.000 0.000 1
Pm2 0.000 0.183 0.006 1
Pm3 0.000 0.409 0.250 1
Sn1 0.000 0.407 0.750 1
N1 0.000 0.099 0.750 1
```

Results
Raw total energy (eV/cell): -142.7
ρ (kg/m³): 7326
Volume (Å³/cell): 646


This record from the Alexandria database describes a geometry-optimized Pm2SnN structure. The functional is PBE.

```
data_Pm2SnN
_chemical_formula_sum 'Pm2 Sn1 N1'
_symmetry_space_group_name_H-M 'P 4/m m m'
_symmetry_Int_Tables_number 123
_symmetry_space_group_name_Hall '-P 4 2'
_cell_length_a 3.222
_cell_length_b 3.222
_cell_length_c 7.994
_cell_angle_alpha 90.00
_cell_angle_beta 90.00
_cell_angle_gamma 90.00
loop_
_atom_site_label
_atom_site_fract_x
_atom_site_fract_y
_atom_site_fract_z
_atom_site_occupancy
Pm1 0.000 0.000 0.185 1
Sn1 0.500 0.500 0.500 1
N1 0.500 0.500 0.000 1
```

Results
Raw total energy (eV/cell): -24.2
E above lowest polymorph (meV/atom): 180
ρ (kg/m³): 8459
Volume (Å³/cell): 83


This record from the Alexandria database describes a geometry-optimized Pm2SnN structure. The functional is PBE.

```
data_Pm2SnN
_chemical_formula_sum 'Pm6 Sn3 N3'
_symmetry_space_group_name_H-M 'R -3 m'
_symmetry_Int_Tables_number 166
_symmetry_space_group_name_Hall '-R 3 2"'
_cell_length_a 3.5771
_cell_length_b 3.5771
_cell_length_c 27.5016
_cell_angle_alpha 90.00
_cell_angle_beta 90.00
_cell_angle_gamma 120.00
loop_
_atom_site_label
_atom_site_fract_x
_atom_site_fract_y
_atom_site_fract_z
_atom_site_occupancy
Pm1 0.0000 0.0000 0.1167 1
Sn1 0.0000 0.0000 0.0000 1
N1 0.0000 0.0000 0.5000 1
```

Results
Raw total energy (eV/cell): -73.7
E above lowest polymorph (meV/atom): 97
ρ (kg/m³): 6910
Volume (Å³/cell): 305